Record 1
A plane-wave DFT calculation with PBE+U was carried out for a geometry-optimized NpNbNiO6 structure.

## Properties
The value obtained for the density of states at the Fermi level is 0.62 states/eV/atom. As for the space group: P-31c, No. 163. Its spin magnetization is 0.0 μB/f.u. The total DFT energy (no corrections) comes out at -8.38 eV per atom.

Unit cell a=5.453 b=5.453 c=8.856 alpha=90.00 beta=90.00 gamma=120.00
Sites, in units of the cell vectors:
Np1 0.333 0.667 0.250
Np2 0.667 0.333 0.750
Nb1 0.333 0.667 0.750
Nb2 0.667 0.333 0.250
Ni1 0.000 0.000 0.000
Ni2 0.000 0.000 0.500
O1 0.014 0.350 0.631
O2 0.014 0.665 0.869
O3 0.335 0.350 0.869
O4 0.335 0.986 0.631
O5 0.350 0.014 0.131
O6 0.350 0.335 0.369
O7 0.650 0.665 0.631
O8 0.650 0.986 0.869
O9 0.665 0.014 0.369
O10 0.665 0.650 0.131
O11 0.986 0.335 0.131
O12 0.986 0.650 0.369


Record 2
A plane-wave DFT calculation with PBE+U was carried out for a geometry-optimized Nb2Ni2O structure.

## Properties
The value obtained for the density of states at the Fermi level is 0.76 states/eV/atom. The relative energy among the computed polymorphs comes out at 2.74 eV/f.u. As for the space group: I4/mmm, No. 139. Its spin magnetization is 0.0 μB/f.u.

Unit cell a=5.271 b=5.271 c=5.271 alpha=132.43 beta=132.43 gamma=69.55
Sites, in units of the cell vectors:
Nb1 0.250 0.750 0.500
Nb2 0.750 0.250 0.500
Ni1 0.119 0.119 0.000
Ni2 0.881 0.881 0.000
O1 0.500 0.500 0.000


Record 3
A plane-wave DFT calculation with PBE+U was carried out for a geometry-optimized Nb2NiO6 structure.

## Properties
The value obtained for the density of states at the Fermi level is 0.00 states/eV/atom. The relative energy among the computed polymorphs comes out at 0.30 eV/f.u. As for the space group: P4_2/mnm, No. 136. Its spin magnetization is 2.0 μB/f.u.

Unit cell a=4.805 b=4.805 c=9.204 alpha=90.00 beta=90.00 gamma=90.00
Sites, in units of the cell vectors:
Nb1 0.000 0.000 0.169
Nb2 0.000 0.000 0.831
Nb3 0.500 0.500 0.331
Nb4 0.500 0.500 0.669
Ni1 0.000 0.000 0.500
Ni2 0.500 0.500 0.000
O1 0.191 0.191 0.000
O2 0.202 0.202 0.326
O3 0.202 0.202 0.674
O4 0.298 0.702 0.174
O5 0.298 0.702 0.826
O6 0.309 0.691 0.500
O7 0.691 0.309 0.500
O8 0.702 0.298 0.174
O9 0.702 0.298 0.826
O10 0.798 0.798 0.326
O11 0.798 0.798 0.674
O12 0.809 0.809 0.000


Record 4
A plane-wave DFT calculation with PBE+U was carried out for a geometry-optimized Nb2NiO6 structure.

## Properties
The value obtained for the density of states at the Fermi level is 0.00 states/eV/atom. The relative energy among the computed polymorphs comes out at 0.18 eV/f.u. As for the space group: P321, No. 150. Its spin magnetization is 2.0 μB/f.u.

Unit cell a=8.777 b=8.777 c=4.636 alpha=90.00 beta=90.00 gamma=120.00
Sites, in units of the cell vectors:
Nb1 0.000 0.370 0.000
Nb2 0.000 0.705 0.500
Nb3 0.295 0.295 0.500
Nb4 0.370 0.000 0.000
Nb5 0.630 0.630 0.000
Nb6 0.705 0.000 0.500
Ni1 0.000 0.000 0.000
Ni2 0.333 0.667 0.509
Ni3 0.667 0.333 0.491
O1 0.105 0.560 0.262
O2 0.108 0.227 0.236
O3 0.118 0.892 0.236
O4 0.211 0.432 0.743
O5 0.221 0.789 0.743
O6 0.227 0.108 0.764
O7 0.432 0.211 0.257
O8 0.440 0.544 0.262
O9 0.456 0.895 0.262
O10 0.544 0.440 0.738
O11 0.560 0.105 0.738
O12 0.568 0.779 0.743
O13 0.773 0.882 0.236
O14 0.779 0.568 0.257
O15 0.789 0.221 0.257
O16 0.882 0.773 0.764
O17 0.892 0.118 0.764
O18 0.895 0.456 0.738


Record 5
A plane-wave DFT calculation with PBE+U was carried out for a geometry-optimized Nb2NiO6 structure.

## Properties
The value obtained for the density of states at the Fermi level is 0.00 states/eV/atom. The relative energy among the computed polymorphs comes out at 0.00 eV/f.u. As for the space group: Pbcn, No. 60. Its spin magnetization is 2.0 μB/f.u.

Unit cell a=14.275 b=5.792 c=5.080 alpha=90.00 beta=90.00 gamma=90.00
Sites, in units of the cell vectors:
Nb1 0.159 0.183 0.246
Nb2 0.159 0.817 0.746
Nb3 0.341 0.317 0.746
Nb4 0.341 0.683 0.246
Nb5 0.659 0.317 0.754
Nb6 0.659 0.683 0.254
Nb7 0.841 0.183 0.254
Nb8 0.841 0.817 0.754
Ni1 0.000 0.345 0.750
Ni2 0.000 0.655 0.250
Ni3 0.500 0.155 0.250
Ni4 0.500 0.845 0.750
O1 0.078 0.384 0.411
O2 0.078 0.616 0.911
O3 0.095 0.108 0.921
O4 0.095 0.892 0.421
O5 0.244 0.124 0.576
O6 0.244 0.876 0.076
O7 0.256 0.376 0.076
O8 0.256 0.624 0.576
O9 0.405 0.392 0.421
O10 0.405 0.608 0.921
O11 0.422 0.116 0.911
O12 0.422 0.884 0.411
O13 0.578 0.116 0.589
O14 0.578 0.884 0.089
O15 0.595 0.392 0.079
O16 0.595 0.608 0.579
O17 0.744 0.376 0.424
O18 0.744 0.624 0.924
O19 0.756 0.124 0.924
O20 0.756 0.876 0.424
O21 0.905 0.108 0.579
O22 0.905 0.892 0.079
O23 0.922 0.384 0.089
O24 0.922 0.616 0.589


Record 6
A plane-wave DFT calculation with PBE+U was carried out for a geometry-optimized Nb3NiO structure.

## Properties
The value obtained for the density of states at the Fermi level is 0.81 states/eV/atom. As for the space group: Pm-3m, No. 221. Its spin magnetization is 0.3 μB/f.u. The total DFT energy (no corrections) comes out at -7.81 eV per atom.

Unit cell a=4.200 b=4.200 c=4.200 alpha=90.00 beta=90.00 gamma=90.00
Sites, in units of the cell vectors:
Nb1 0.000 0.000 0.500
Nb2 0.000 0.500 0.000
Nb3 0.500 0.000 0.000
Ni1 0.500 0.500 0.500
O1 0.000 0.000 0.000


Record 7
A plane-wave DFT calculation with PBE+U was carried out for a geometry-optimized NbNiO2 structure.

## Properties
The value obtained for the density of states at the Fermi level is 0.94 states/eV/atom. The relative energy among the computed polymorphs comes out at 2.20 eV/f.u. As for the space group: I-42d, No. 122. Its spin magnetization is 0.0 μB/f.u.

Unit cell a=5.619 b=5.619 c=5.619 alpha=130.36 beta=130.36 gamma=72.83
Sites, in units of the cell vectors:
Nb1 0.000 0.000 0.000
Nb2 0.750 0.250 0.500
Ni1 0.250 0.750 0.500
Ni2 0.500 0.500 0.000
O1 0.125 0.625 0.000
O2 0.375 0.375 0.500
O3 0.625 0.125 0.000
O4 0.875 0.875 0.500


Record 8
A plane-wave DFT calculation with PBE+U was carried out for a geometry-optimized Nb2Ni4O9 structure.

## Properties
The value obtained for the density of states at the Fermi level is 0.00 states/eV/atom. As for the space group: Pbcn, No. 60. Its spin magnetization is 8.0 μB/f.u. The total DFT energy (no corrections) comes out at -6.78 eV per atom.

Unit cell a=8.848 b=5.134 c=14.494 alpha=90.00 beta=90.00 gamma=90.00
Sites, in units of the cell vectors:
Nb1 0.030 0.003 0.145
Nb2 0.030 0.997 0.645
Nb3 0.470 0.497 0.645
Nb4 0.470 0.503 0.145
Nb5 0.530 0.497 0.855
Nb6 0.530 0.503 0.355
Nb7 0.970 0.003 0.355
Nb8 0.970 0.997 0.855
Ni1 0.164 0.496 0.812
Ni2 0.164 0.504 0.312
Ni3 0.165 0.494 0.998
Ni4 0.165 0.506 0.498
Ni5 0.335 0.006 0.498
Ni6 0.335 0.994 0.998
Ni7 0.336 0.004 0.312
Ni8 0.336 0.996 0.812
Ni9 0.664 0.004 0.188
Ni10 0.664 0.996 0.688
Ni11 0.665 0.006 0.002
Ni12 0.665 0.994 0.502
Ni13 0.835 0.494 0.502
Ni14 0.835 0.506 0.002
Ni15 0.836 0.496 0.688
Ni16 0.836 0.504 0.188
O1 0.000 0.287 0.750
O2 0.000 0.713 0.250
O3 0.005 0.335 0.415
O4 0.005 0.665 0.915
O5 0.149 0.152 0.249
O6 0.149 0.848 0.749
O7 0.165 0.168 0.903
O8 0.165 0.832 0.403
O9 0.171 0.171 0.572
O10 0.171 0.829 0.072
O11 0.329 0.329 0.072
O12 0.329 0.671 0.572
O13 0.335 0.332 0.403
O14 0.335 0.668 0.903
O15 0.351 0.348 0.749
O16 0.351 0.652 0.249
O17 0.495 0.165 0.915
O18 0.495 0.835 0.415
O19 0.500 0.213 0.250
O20 0.500 0.787 0.750
O21 0.505 0.165 0.585
O22 0.505 0.835 0.085
O23 0.649 0.348 0.751
O24 0.649 0.652 0.251
O25 0.665 0.332 0.097
O26 0.665 0.668 0.597
O27 0.671 0.329 0.428
O28 0.671 0.671 0.928
O29 0.829 0.171 0.928
O30 0.829 0.829 0.428
O31 0.835 0.168 0.597
O32 0.835 0.832 0.097
O33 0.851 0.152 0.251
O34 0.851 0.848 0.751
O35 0.995 0.335 0.085
O36 0.995 0.665 0.585


Question: The highest spin magnetization belongs to which entry?
Answer: Nb2Ni4O9